## CsOsNF2 (PBE)

Data for an optimized crystal structure of CsOsNF2.

Lattice parameters (Å, degrees): 4.6268 4.6268 3.7742 90.00 90.00 90.00
Last column: magnetic moment on the atom in μB.
Positions (direct):
N: 0.0000 0.0000 0.5000  0.09
Cs: 0.5000 0.5000 0.5000  0.00
F: 0.0000 0.5000 0.0000  0.00
F: 0.5000 0.0000 0.0000  0.00
Os: 0.0000 0.0000 0.0000  0.23

Summary:
E = -28.6 eV per formula unit
formation energy from raw total energies = -0.884 eV/atom
space group = P4/mmm, No. 123
ρ = 7.710 g/cm3

***

## TcAgPCl2 (PBE)

Data for an optimized crystal structure of TcAgPCl2.

Lattice parameters (Å, degrees): 4.9839 4.9839 4.5490 90.00 90.00 90.00
Last column: magnetic moment on the atom in μB.
Positions (direct):
P: 0.0000 0.0000 0.5000  -0.03
Cl: 0.5000 0.0000 0.0000  0.03
Cl: 0.0000 0.5000 0.0000  0.03
Tc: 0.0000 0.0000 0.0000  1.23
Ag: 0.5000 0.5000 0.5000  0.01

Summary:
E = -21.1 eV per formula unit
formation energy from raw total energies = 0.246 eV/atom
space group = P4/mmm, No. 123
ρ = 4.523 g/cm3

***

## CsYF4 (PBE)

Data for an optimized crystal structure of CsYF4.

Lattice parameters (Å, degrees): 3.9207 3.9207 7.0459 90.00 90.00 90.00
Positions (direct):
Cs: 0.0000 0.0000 0.0000
F: 0.0000 0.5000 0.6801
F: 0.5000 0.0000 0.6801
Y: 0.5000 0.5000 0.5000
F: 0.5000 0.0000 0.3199
F: 0.0000 0.5000 0.3199

Summary:
E = -36.6 eV per formula unit
formation energy from raw total energies = -3.635 eV/atom
space group = P4/mmm, No. 123
ρ = 4.566 g/cm3

***

## RbCr2RuPt (PBE)

Data for an optimized crystal structure of RbCr2RuPt.

Lattice parameters (Å, degrees): 4.8098 5.1137 4.8098 90.00 90.00 90.00
Last column: magnetic moment on the atom in μB.
Positions (direct):
Rb: 0.5000 0.5000 0.5000  0.03
Pt: 0.0000 0.5000 0.0000  -0.22
Ru: 0.0000 0.0000 0.0000  -0.89
Cr: 0.0000 0.0000 0.5000  3.21
Cr: 0.5000 0.0000 0.0000  3.67

Summary:
E = -30.8 eV per formula unit
calculated formation energy = 955 meV per atom
space group = P4/mmm, No. 123
ρ = 6.816 g/cm3

***

## La7PmTm3 (PBE)

Data for an optimized crystal structure of La7PmTm3.

Lattice parameters (Å, degrees): 8.6256 7.2904 7.2904 120.00 90.00 90.00
Positions (direct):
La: 0.4674 0.8359 0.1641
Tm: 0.7826 0.0007 0.5004
La: 0.0981 0.1642 0.8358
La: 0.1321 0.6667 0.3333
La: 0.4674 0.3282 0.1641
La: 0.0981 0.6715 0.8358
Tm: 0.7826 0.4996 0.9993
La: 0.0981 0.1642 0.3285
Pm: 0.4386 0.3333 0.6667
Tm: 0.7826 0.4996 0.5004
La: 0.4674 0.8359 0.6718

Summary:
E = -50.7 eV per formula unit
calculated formation energy = 178 meV per atom
space group = P3m1, No. 156
ρ = 6.793 g/cm3

***

## Eu2GdTl (PBE)

Data for an optimized crystal structure of Eu2GdTl.

Lattice parameters (Å, degrees): 5.6990 5.6990 5.6990 60.00 60.00 60.00
Last column: magnetic moment on the atom in μB.
Positions (direct):
Eu: 0.2500 0.2500 0.2500  -6.84
Tl: 0.5000 0.5000 0.5000  -0.01
Gd: 0.0000 0.0000 0.0000  6.97
Eu: 0.7500 0.7500 0.7500  -6.84

Summary:
E = -37.2 eV per formula unit
calculated formation energy = -40 meV per atom
space group = Fm-3m, No. 225
ρ = 8.444 g/cm3

***

## La4BiTe2Br (PBE)

Data for an optimized crystal structure of La4BiTe2Br.

Lattice parameters (Å, degrees): 4.5726 7.9778 7.8358 70.54 90.00 90.00
Positions (direct):
La: 0.0000 0.7542 0.7468
Br: 0.0000 0.5000 0.5000
Te: 0.5000 0.0000 0.5000
Bi: 0.5000 0.5000 0.0000
La: 0.0000 0.2458 0.2532
La: 0.5000 0.7548 0.2497
La: 0.5000 0.2452 0.7503
Te: 0.0000 0.0000 0.0000

Summary:
E = -42.6 eV per formula unit
formation energy from raw total energies = -1.380 eV/atom
space group = P2/m, No. 10
ρ = 6.776 g/cm3

***

## ZrTiCl2 (PBE)

Data for an optimized crystal structure of ZrTiCl2.

Lattice parameters (Å, degrees): 4.3622 4.3622 8.8682 75.76 75.76 90.00
Last column: magnetic moment on the atom in μB.
Positions (direct):
Ti: 0.5000 0.5000 0.0000  0.65
Zr: 0.7500 0.2500 0.5000  0.25
Cl: 0.8750 0.8665 0.7500  -0.01
Cl: 0.3750 0.3835 0.7500  -0.01
Cl: 0.1335 0.6250 0.2500  -0.01
Zr: 0.0000 0.0000 0.0000  0.25
Cl: 0.6165 0.1250 0.2500  -0.01
Ti: 0.2500 0.7500 0.5000  0.65

Summary:
E = -22.2 eV per formula unit
formation energy from raw total energies = -0.516 eV/atom
space group = I-42d, No. 122
ρ = 4.408 g/cm3

***

## Sn5Pb (PBE)

Data for an optimized crystal structure of Sn5Pb.

Lattice parameters (Å, degrees): 6.0972 3.3150 9.2315 90.00 109.28 90.00
Positions (direct):
Sn: 0.3161 0.5000 0.6322
Sn: 0.8057 0.5000 0.6114
Sn: 0.4679 0.0000 0.9358
Sn: 0.6468 0.0000 0.2935
Pb: 0.1314 0.5000 0.2628
Sn: 0.9655 0.0000 0.9310

Summary:
E = -23.3 eV per formula unit
calculated formation energy = 71 meV per atom
space group = Amm2, No. 38
ρ = 7.550 g/cm3

***

## SiTcH2 (PBE)

Data for an optimized crystal structure of SiTcH2.

Lattice parameters (Å, degrees): 3.6384 3.6384 3.6384 60.00 60.00 60.00
Positions (direct):
Si: 0.0000 0.0000 0.0000
Tc: 0.5000 0.5000 0.5000
H: 0.2500 0.2500 0.2500
H: 0.7500 0.7500 0.7500

Summary:
E = -19.4 eV per formula unit
space group = Fm-3m, No. 225
ρ = 6.246 g/cm3

***

## HoGa6Rh4 (PBE)

Data for an optimized crystal structure of HoGa6Rh4.

Lattice parameters (Å, degrees): 6.5569 6.5569 6.5569 89.65 120.20 120.20
Positions (direct):
Rh: 0.0000 0.2377 0.6065
Ga: 0.6549 0.1249 0.1249
Rh: 0.3687 0.7623 0.7623
Ga: 0.0000 0.8751 0.5300
Ga: 0.5000 0.5000 0.0000
Ga: 0.3451 0.4700 0.4700
Ga: 0.5000 0.0000 0.5000
Ga: 0.0000 0.5300 0.8751
Rh: 0.6313 0.3935 0.3935
Ho: 0.0000 0.0000 0.0000
Rh: 0.0000 0.6065 0.2377

Summary:
E = -58.8 eV per formula unit
calculated formation energy = -605 meV per atom
space group = I-42m, No. 121
ρ = 8.314 g/cm3

***

## BiSN2Cl (PBE)

Data for an optimized crystal structure of BiSN2Cl.

Lattice parameters (Å, degrees): 4.6467 4.6467 5.4442 90.00 90.00 90.00
Last column: magnetic moment on the atom in μB.
Positions (direct):
Bi: 0.0000 0.0000 0.0000  -0.05
N: 0.5000 0.0000 0.0000  1.22
S: 0.0000 0.0000 0.5000  0.71
N: 0.0000 0.5000 0.0000  1.22
Cl: 0.5000 0.5000 0.5000  0.53

Summary:
E = -17.9 eV per formula unit
formation energy from raw total energies = 1.730 eV/atom
space group = P4/mmm, No. 123
ρ = 4.302 g/cm3

***

## PmSi4Os2 (PBE)

Data for an optimized crystal structure of PmSi4Os2.

Lattice parameters (Å, degrees): 4.1051 6.6763 16.4374 90.00 90.00 90.00
Positions (direct):
Si: 0.2500 0.1269 0.5184
Si: 0.7500 0.8532 0.8046
Si: 0.2500 0.4830 0.4479
Pm: 0.7500 0.4261 0.1415
Si: 0.7500 0.8731 0.4816
Si: 0.7500 0.9830 0.0521
Os: 0.7500 0.2567 0.9520
Si: 0.7500 0.2818 0.7992
Os: 0.2500 0.4398 0.3017
Si: 0.2500 0.3532 0.6954
Os: 0.7500 0.5602 0.6983
Pm: 0.2500 0.5739 0.8585
Os: 0.7500 0.2433 0.4520
Os: 0.2500 0.7433 0.0480
Si: 0.2500 0.0170 0.9479
Si: 0.7500 0.6468 0.3046
Si: 0.2500 0.3731 0.0184
Os: 0.2500 0.0602 0.8017
Si: 0.2500 0.7818 0.7008
Pm: 0.2500 0.9261 0.3585
Pm: 0.7500 0.0739 0.6415
Si: 0.7500 0.2182 0.2992
Si: 0.7500 0.5170 0.5521
Si: 0.2500 0.7182 0.2008
Os: 0.7500 0.9398 0.1983
Si: 0.2500 0.1468 0.1954
Os: 0.2500 0.7567 0.5480
Si: 0.7500 0.6269 0.9816

Summary:
E = -52.6 eV per formula unit
formation energy from raw total energies = -0.526 eV/atom
space group = Pnma, No. 62
ρ = 9.404 g/cm3

***

## BaNaPb3 (PBE)

Data for an optimized crystal structure of BaNaPb3.

Lattice parameters (Å, degrees): 4.8427 5.5498 7.6165 68.65 71.47 89.99
Positions (direct):
Na: 0.0221 0.8260 0.6605
Pb: 0.7951 0.5982 0.1155
Pb: 0.6678 0.9713 0.3694
Ba: 0.3794 0.1830 0.9468
Pb: 0.1433 0.4468 0.4188

Summary:
E = -15.7 eV per formula unit
calculated formation energy = -259 meV per atom
space group = Imm2, No. 44
ρ = 7.245 g/cm3

***

## InAg3Hg (PBE)

Data for an optimized crystal structure of InAg3Hg.

Lattice parameters (Å, degrees): 5.3391 7.8187 10.1733 110.63 90.00 90.00
Positions (direct):
Ag: 0.6790 0.3470 0.2931
Hg: 0.6713 0.5467 0.8931
Ag: 0.1790 0.1530 0.2069
Hg: 0.3287 0.4533 0.1069
Ag: 0.6723 0.1531 0.7003
Hg: 0.8287 0.0467 0.3931
Ag: 0.8443 0.4494 0.6000
Ag: 0.3210 0.6530 0.7069
In: 0.6572 0.7327 0.4958
Hg: 0.1713 0.9533 0.6069
Ag: 0.3277 0.8469 0.2997
Ag: 0.1723 0.3469 0.7997
Ag: 0.8277 0.6531 0.2003
Ag: 0.6557 0.9494 0.1000
Ag: 0.8210 0.8470 0.7931
Ag: 0.3443 0.0506 0.9000
In: 0.1572 0.7673 0.0042
In: 0.8428 0.2327 0.9958
In: 0.3428 0.2673 0.5042
Ag: 0.1557 0.5506 0.4000

Summary:
E = -11.5 eV per formula unit
calculated formation energy = 12 meV per atom
space group = P2_1/c, No. 14
ρ = 10.679 g/cm3

***

## CsErZrS4 (PBE)

Data for an optimized crystal structure of CsErZrS4.

Lattice parameters (Å, degrees): 6.9264 7.0846 10.4584 90.00 121.29 90.00
Positions (direct):
Cs: 0.4057 0.2500 0.0747
S: 0.0532 0.4963 0.6820
Er: 0.8007 0.7500 0.4567
Zr: 0.2171 0.7500 0.3438
Cs: 0.5943 0.7500 0.9253
S: 0.4595 0.2500 0.4138
Er: 0.1993 0.2500 0.5433
S: 0.3852 0.7500 0.1921
Zr: 0.7829 0.2500 0.6562
S: 0.9468 0.5037 0.3180
S: 0.5405 0.7500 0.5862
S: 0.0532 0.0037 0.6820
S: 0.9468 0.9963 0.3180
S: 0.6148 0.2500 0.8079

Summary:
E = -41.9 eV per formula unit
formation energy from raw total energies = -1.636 eV/atom
space group = P2_1/m, No. 11
ρ = 3.935 g/cm3

***

## LaGe2RhS (PBE)

Data for an optimized crystal structure of LaGe2RhS.

Lattice parameters (Å, degrees): 4.3918 4.4479 5.8754 71.79 70.52 88.82
Positions (direct):
Ge: 0.5050 0.3422 0.9587
Rh: 0.5358 0.9072 0.7779
S: 0.7777 0.1604 0.3427
Ge: 0.9584 0.9138 0.9665
La: 0.2087 0.5816 0.4445

Summary:
E = -29.5 eV per formula unit
formation energy from raw total energies = -0.780 eV/atom
space group = P1, No. 1
ρ = 6.801 g/cm3

***

## SbIr2W (PBE)

Data for an optimized crystal structure of SbIr2W.

Lattice parameters (Å, degrees): 4.8718 4.8718 4.8616 82.62 82.62 35.23
Positions (direct):
Ir: 0.5073 0.5073 0.4835
Sb: 0.7500 0.7500 0.7500
W: 0.2500 0.2500 0.2500
Ir: 0.9927 0.9927 0.0165

Summary:
E = -33.9 eV per formula unit
formation energy from raw total energies = 0.235 eV/atom
space group = C2/m, No. 12
ρ = 17.374 g/cm3

***

## Ba2YTl (PBE)

Data for an optimized crystal structure of Ba2YTl.

Lattice parameters (Å, degrees): 6.0047 6.0047 6.0047 60.00 60.00 60.00
Last column: magnetic moment on the atom in μB.
Positions (direct):
Y: 0.7500 0.7500 0.7500  0.44
Ba: 0.2500 0.2500 0.2500  0.13
Ba: 0.0000 0.0000 0.0000  0.20
Tl: 0.5000 0.5000 0.5000  -0.02

Summary:
E = -12.3 eV per formula unit
calculated formation energy = 87 meV per atom
space group = F-43m, No. 216
ρ = 6.160 g/cm3

***

## Pm8Hg2Rh3 (PBE)

Data for an optimized crystal structure of Pm8Hg2Rh3.

Lattice parameters (Å, degrees): 5.0600 10.1778 8.8611 124.98 90.00 90.00
Positions (direct):
Pm: 0.0000 0.6161 0.2309
Pm: 0.0000 0.8835 0.7681
Pm: 0.0000 0.1165 0.2319
Rh: 0.5000 0.0000 0.0000
Pm: 0.5000 0.1299 0.7683
Pm: 0.5000 0.3624 0.2310
Pm: 0.5000 0.8701 0.2317
Hg: 0.5000 0.7437 0.4874
Hg: 0.5000 0.2563 0.5126
Pm: 0.0000 0.3839 0.7691
Pm: 0.5000 0.6376 0.7690
Rh: 0.0000 0.2549 0.0000
Rh: 0.0000 0.7451 0.0000

Summary:
E = -65.9 eV per formula unit
calculated formation energy = -400 meV per atom
space group = P2/m, No. 10
ρ = 8.304 g/cm3